This record from Alexandria describes an optimized crystal structure of PuNiGe. The functional is GGA-PBE.

Geometry as POSCAR:
```
PuNiGe
1.0
-2.088 -2.639 2.778
2.209 -1.997 3.190
-0.580 1.219 4.150
Ni Ge Pu
1 1 1
Direct
0.250 0.250 0.250
0.500 0.500 0.500
0.000 0.000 0.000
```

Computed properties:
Raw total energy: -25.614 eV per cell
Formation energy from the elements: -0.29 eV/atom
Density of states at the Fermi level: 3.25 states/eV/atom